A relaxed CaV2Zn2Si2O10 crystal, computed with PBE+U.

Computed properties:
size of the total moment	4.0	μB per formula unit
SG	P1, No. 1
relative energy among the computed polymorphs	0.00	kJ/mol of atoms
VASP energy	-117.8	eV per formula unit

```
CaV2Zn2Si2O10
1.0
-2.9424 -2.1966 4.1849
4.0398 -4.2321 0.6291
3.0834 6.2555 2.1103
Ca V Zn Si O
1 2 2 2 10
Direct
0.0688 0.0355 0.7937
0.9822 0.4609 0.4866
0.0653 0.5729 0.0421
0.6772 0.7969 0.2694
0.4703 0.3568 0.7762
0.3919 0.1700 0.2802
0.5692 0.8035 0.7097
0.2949 0.3148 0.1149
0.2776 0.2515 0.4640
0.6954 0.6650 0.8842
0.7184 0.7197 0.5426
0.2577 0.7537 0.6225
0.6631 0.0917 0.8247
0.7099 0.1676 0.3697
0.3009 0.8742 0.1451
0.1050 0.4159 0.7731
0.9007 0.5552 0.2304
```